A relaxed structure of CsBaCu2As2, computed with PBE.

DOS(E_F): 3.38 states/eV/cell
Formation energy from the elements: -46.7 kJ/mol of atoms

Lattice parameters (Å, degrees): 4.2488 4.2488 10.7004 90.00 90.00 120.00
Last column: nearest neighbours and their distance in Å.
Space group P-3m1 (No. 164)
Asymmetric unit:
Cs 0.0000 0.0000 0.0000 (multiplicity 1)  6 Cu 3.80, 6 As 3.83, 6 Cs 4.25
Ba 0.0000 0.0000 0.5000 (multiplicity 1)  6 As 3.43, 6 Cu 3.47
Cu 0.3333 0.6667 0.7289 (multiplicity 2)  3 As 2.45
As 0.3333 0.6667 0.2754 (multiplicity 2)  3 Cu 2.45